1.
Material: AcSmAgPd
Method: DFT, GGA-PBE
State: optimized geometry

Properties
Energy above the most stable polymorph in this dataset   0.00 eV/f.u.
Formation energy from the elements   -0.503 eV/atom
Crystal system   orthorhombic

a = 4.038 Å, b = 4.899 Å, c = 5.954 Å
α = 90.00°, β = 109.82°, γ = 90.00°
Fractional positions:
Ac  0.142  0.000  0.284
Sm  0.864  0.500  0.729
Ag  0.576  0.500  0.152
Pd  0.417  0.000  0.834

=====

2.
Material: La2Sb4RuRh3
Method: DFT, GGA-PBE
State: optimized geometry

Properties
E_tot   -0.2414 Ha/atom
Crystal system   tetragonal

a = 4.541 Å, b = 4.541 Å, c = 10.654 Å
α = 90.00°, β = 90.00°, γ = 90.00°
Fractional positions:
La  0.500  0.000  0.253
La  0.000  0.500  0.747
Sb  0.500  0.500  0.000
Sb  0.000  0.000  0.000
Sb  0.500  0.000  0.631
Sb  0.000  0.500  0.369
Ru  0.500  0.500  0.500
Rh  0.000  0.000  0.500
Rh  0.500  0.000  0.875
Rh  0.000  0.500  0.125

=====

3.
Material: Ba2Cd5Pd
Method: DFT, GGA-PBE
State: optimized geometry

Properties
Formation energy from the elements   -0.327 eV/atom
Crystal system   orthorhombic

a = 5.030 Å, b = 9.379 Å, c = 10.392 Å
α = 90.00°, β = 90.00°, γ = 105.56°
Fractional positions:
Ba  0.807  0.613  0.750
Ba  0.193  0.387  0.250
Ba  0.000  0.000  0.000
Ba  0.000  0.000  0.500
Cd  0.188  0.377  0.889
Cd  0.812  0.623  0.111
Cd  0.188  0.377  0.611
Cd  0.812  0.623  0.389
Cd  0.351  0.702  0.978
Cd  0.649  0.298  0.022
Cd  0.351  0.702  0.522
Cd  0.649  0.298  0.478
Cd  0.587  0.174  0.750
Cd  0.413  0.826  0.250
Pd  0.434  0.867  0.750
Pd  0.566  0.133  0.250

=====

4.
Material: Ac12Ru5Br3
Method: DFT, GGA-PBE
State: optimized geometry

Properties
E_tot   -0.1947 Ha/atom
Crystal system   cubic

a = 15.884 Å, b = 15.884 Å, c = 15.884 Å
α = 109.47°, β = 109.47°, γ = 109.47°
Fractional positions:
Ru  0.125  0.375  0.250
Ru  0.000  0.500  0.000
Ru  0.000  0.000  0.000
Ru  0.375  0.250  0.125
Ru  0.500  0.000  0.500
Ru  0.500  0.500  0.000
Ru  0.125  0.750  0.375
Ru  0.750  0.125  0.875
Ru  0.750  0.625  0.375
Ru  0.375  0.125  0.750
Ru  0.625  0.875  0.250
Ru  0.500  0.500  0.500
Ru  0.500  0.000  0.000
Ru  0.000  0.000  0.500
Ru  0.250  0.375  0.625
Ru  0.250  0.875  0.125
Ru  0.000  0.500  0.500
Ru  0.875  0.250  0.625
Ru  0.625  0.750  0.875
Ru  0.875  0.625  0.750
Ac  0.699  0.112  0.019
Ac  0.319  0.519  0.407
Ac  0.981  0.388  0.301
Ac  0.519  0.199  0.112
Ac  0.587  0.699  0.681
Ac  0.981  0.593  0.181
Ac  0.319  0.801  0.413
Ac  0.093  0.913  0.112
Ac  0.593  0.981  0.681
Ac  0.699  0.587  0.181
Ac  0.801  0.481  0.388
Ac  0.819  0.907  0.019
Ac  0.112  0.699  0.519
Ac  0.388  0.407  0.087
Ac  0.087  0.907  0.388
Ac  0.413  0.112  0.593
Ac  0.087  0.181  0.199
Ac  0.481  0.681  0.093
Ac  0.819  0.913  0.301
Ac  0.112  0.413  0.093
Ac  0.388  0.981  0.801
Ac  0.593  0.612  0.413
Ac  0.907  0.819  0.519
Ac  0.801  0.319  0.913
Ac  0.407  0.388  0.587
Ac  0.093  0.181  0.481
Ac  0.199  0.681  0.087
Ac  0.181  0.087  0.699
Ac  0.612  0.019  0.199
Ac  0.888  0.587  0.907
Ac  0.519  0.319  0.907
Ac  0.587  0.888  0.407
Ac  0.913  0.819  0.801
Ac  0.913  0.093  0.612
Ac  0.888  0.301  0.481
Ac  0.181  0.093  0.981
Ac  0.612  0.593  0.913
Ac  0.407  0.019  0.319
Ac  0.301  0.413  0.819
Ac  0.199  0.519  0.612
Ac  0.907  0.087  0.888
Ac  0.681  0.199  0.587
Ac  0.481  0.801  0.888
Ac  0.019  0.407  0.819
Ac  0.413  0.301  0.319
Ac  0.019  0.612  0.699
Ac  0.681  0.481  0.593
Ac  0.301  0.888  0.981
Br  0.750  0.375  0.125
Br  0.875  0.750  0.125
Br  0.375  0.750  0.625
Br  0.250  0.125  0.375
Br  0.875  0.125  0.250
Br  0.375  0.625  0.250
Br  0.625  0.375  0.750
Br  0.125  0.875  0.750
Br  0.750  0.875  0.625
Br  0.625  0.250  0.375
Br  0.125  0.250  0.875
Br  0.250  0.625  0.875